(1)
Here is a geometry-optimized MnCd2Re structure from the Alexandria database. Energies are from GGA-PBE.

a = 4.595 Å, b = 4.595 Å, c = 4.595 Å
α = 60.00°, β = 60.00°, γ = 60.00°
Site moments in Bohr magnetons follow the coordinates.
Atoms (fractional coordinates):
Cd (0.000, 0.000, 0.000)  -0.01
Cd (0.250, 0.250, 0.250)  0.00
Mn (0.500, 0.500, 0.500)  3.12
Re (0.750, 0.750, 0.750)  -1.22

Calculated values
E_tot ... -5.198 eV/atom
Magnetic moment ... 1.84 μB per cell
Energy relative to the elements ... 0.664 eV/atom
Symmetry ... F-43m, No. 216

(2)
Here is a geometry-optimized NaAcSe2O8 structure from the Alexandria database. Energies are from GGA-PBE.

a = 6.312 Å, b = 6.312 Å, c = 6.312 Å
α = 106.34°, β = 106.34°, γ = 115.94°
Atoms (fractional coordinates):
Na (0.250, 0.750, 0.500)
Ac (0.000, 0.000, 0.000)
Se (0.750, 0.250, 0.500)
Se (0.500, 0.500, 0.000)
O (0.423, 0.098, 0.325)
O (0.345, 0.519, 0.174)
O (0.345, 0.171, 0.826)
O (0.773, 0.098, 0.675)
O (0.829, 0.655, 0.174)
O (0.902, 0.227, 0.325)
O (0.902, 0.577, 0.675)
O (0.481, 0.655, 0.826)

Calculated values
E_tot ... -5.881 eV/atom
Magnetic moment ... 0.00 μB per cell
Symmetry ... I-4m2, No. 119

(3)
Here is a geometry-optimized K2NdCrS4 structure from the Alexandria database. Energies are from GGA-PBE.

a = 3.954 Å, b = 6.776 Å, c = 7.688 Å
α = 107.47°, β = 90.00°, γ = 90.00°
Site moments in Bohr magnetons follow the coordinates.
Atoms (fractional coordinates):
K (0.500, 0.000, 0.500)  0.00
K (0.000, 0.500, 0.500)  0.00
Nd (0.000, 0.000, 0.000)  0.01
Cr (0.500, 0.500, 0.000)  2.97
S (0.500, 0.266, 0.201)  -0.02
S (0.500, 0.734, 0.799)  -0.02
S (0.000, 0.303, 0.816)  -0.07
S (0.000, 0.697, 0.184)  -0.07

Calculated values
E_tot ... -5.433 eV/atom
Magnetic moment ... 3.00 μB per cell
Symmetry ... P2/m, No. 10

(4)
Here is a geometry-optimized MgGeSbBr2 structure from the Alexandria database. Energies are from GGA-PBE.

a = 5.412 Å, b = 5.357 Å, c = 5.412 Å
α = 90.00°, β = 90.00°, γ = 90.00°
Site moments in Bohr magnetons follow the coordinates.
Atoms (fractional coordinates):
Sb (0.500, 0.500, 0.500)  0.70
Ge (0.000, 0.000, 0.000)  0.03
Mg (0.000, 0.500, 0.000)  0.00
Br (0.000, 0.000, 0.500)  0.07
Br (0.500, 0.000, 0.000)  0.08

Calculated values
E_tot ... -2.554 eV/atom
Magnetic moment ... 2.07 μB per cell
Symmetry ... P4/mmm, No. 123